First-principles (PBE-GGA) data for PmNd2Sm after structural relaxation, as listed in the Alexandria database.

abc: 3.677 3.677 12.067
angles: 81.24 81.24 60.00
Element x y z (fractional)
Sm: 0.500 0.500 0.500
Nd: 0.250 0.250 0.251
Nd: 0.083 0.083 0.750
Pm: 0.667 0.667 0.999

Calculated formation energy   0.30 kcal/mol of atoms
SG   R3m, No. 160
Calculated total energy   -4.7383 eV/atom
Size of the total moment   0.000 μB per cell